[1]
First-principles (PBE-GGA) data for crystalline RbFe2Br7 at its relaxed geometry, as listed in Alexandria via LeMat-Bulk.

## Properties
Energy relative to the elements, uncorrected   -0.623 eV/atom
V   45.10 Å³/atom
Space group   Cmmm (65)
Fermi-level density of states   2.202 states/eV per cell

Cell: 5.193 9.458 9.458 Å, 103.85 90.00 90.00°
Element x y z (fractional)
1 Br 0.500 0.500 0.500
2 Br 0.500 0.960 0.701
3 Fe 0.500 0.715 0.716
4 Rb 0.000 0.000 0.000
5 Br 0.500 0.299 0.040
6 Br 0.500 0.701 0.960
7 Br 0.000 0.686 0.686
8 Br 0.500 0.040 0.299
9 Fe 0.500 0.285 0.284
10 Br 0.000 0.314 0.314



[2]
First-principles (PBE-GGA) data for crystalline RbFe2Br at its relaxed geometry, as listed in Alexandria via LeMat-Bulk.

## Properties
Energy relative to the elements, uncorrected   0.654 eV/atom
V   28.40 Å³/atom
Space group   I4_1/amd (141)
E above lowest polymorph   0.000 eV per atom
Fermi-level density of states   15.595 states/eV per cell

Cell: 4.745 4.745 10.635 Å, 77.11 77.11 90.00°
Element x y z (fractional)
1 Rb 0.750 0.250 0.500
2 Fe 0.875 0.625 0.750
3 Br 0.250 0.750 0.500
4 Br 0.500 0.500 0.000
5 Fe 0.375 0.625 0.250
6 Fe 0.375 0.625 0.750
7 Rb 0.000 0.000 0.000
8 Fe 0.375 0.125 0.250



[3]
First-principles (PBE-GGA) data for crystalline RbFeBr5 at its relaxed geometry, as listed in Alexandria via LeMat-Bulk.

## Properties
Energy relative to the elements, uncorrected   -0.720 eV/atom
V   41.28 Å³/atom
Space group   Imm2 (44)
Fermi-level density of states   3.776 states/eV per cell

Cell: 7.938 7.463 7.463 Å, 54.69 57.87 57.87°
Element x y z (fractional)
1 Br 0.500 0.778 0.222
2 Rb 0.000 0.942 0.058
3 Br 0.181 0.431 0.569
4 Fe 0.500 0.436 0.564
5 Br 0.819 0.431 0.569
6 Br 0.309 0.447 0.935
7 Br 0.691 0.065 0.553